Record 1
Ca4SmCd5 after structural relaxation, computed with PBE.

Lattice parameters (Å, degrees): 3.829 3.829 19.203 90.00 90.00 90.00
Site moments in Bohr magnetons follow the coordinates.
Positions (direct):
Ca 0.000 0.000 0.199  0.00
Ca 0.000 0.000 0.399  0.00
Ca 0.000 0.000 0.601  0.00
Ca 0.000 0.000 0.801  0.00
Sm 0.000 0.000 0.000  0.07
Cd 0.500 0.500 0.098  0.00
Cd 0.500 0.500 0.300  0.00
Cd 0.500 0.500 0.500  0.00
Cd 0.500 0.500 0.700  0.00
Cd 0.500 0.500 0.902  0.00

Values from the calculation:
calculated formation energy: -0.351 eV/atom
total energy: -0.0765 hartree per atom
mass density: 5.15 g cm⁻³

=====

Record 2
Cd5InPb6 after structural relaxation, computed with PBE.

Lattice parameters (Å, degrees): 5.167 8.816 8.816 107.13 106.70 106.70
Positions (direct):
Pb 0.257 0.089 0.425
Pb 0.743 0.575 0.911
Pb 0.759 0.260 0.260
Pb 0.241 0.740 0.740
Pb 0.257 0.425 0.089
Pb 0.743 0.911 0.575
In 0.000 0.000 0.000
Cd 0.500 0.161 0.839
Cd 0.000 0.326 0.674
Cd 0.500 0.500 0.500
Cd 0.000 0.674 0.326
Cd 0.500 0.839 0.161

Values from the calculation:
calculated formation energy: 0.049 eV/atom
total energy: -0.0888 hartree per atom
mass density: 9.49 g cm⁻³

=====

Record 3
Np3Ru after structural relaxation, computed with PBE.

Lattice parameters (Å, degrees): 4.621 4.621 4.621 60.00 60.00 60.00
Site moments in Bohr magnetons follow the coordinates.
Positions (direct):
Np 0.000 0.000 0.000  -1.04
Np 0.750 0.750 0.750  1.63
Np 0.250 0.250 0.250  1.63
Ru 0.500 0.500 0.500  -0.12

Values from the calculation:
calculated formation energy: 0.114 eV/atom
total energy: -0.4377 hartree per atom
mass density: 19.33 g cm⁻³

=====

Record 4
RbTaGe after structural relaxation, computed with PBE.

Lattice parameters (Å, degrees): 3.634 3.671 7.007 89.90 75.16 90.00
Site moments in Bohr magnetons follow the coordinates.
Positions (direct):
Rb 0.965 0.087 0.329  0.01
Ta 0.692 0.585 0.838  0.45
Ge 0.199 0.085 0.822  -0.02

Values from the calculation:
calculated formation energy: 0.448 eV/atom
total energy: -0.1971 hartree per atom
energy relative to the lowest polymorph listed for this composition: 0 meV per atom
mass density: 6.23 g cm⁻³